DFT (PBE) results for crystalline Tm12Ga6C at its relaxed geometry.

Summary:
For the electronic total energy, the calculation gives -0.3412 Ry per atom. For the formation energy, the calculation gives -0.38 eV/atom. The space group is R-3, No. 148.

Cell: 7.8179 7.8179 7.8179 Å, 93.85 93.85 93.85°
Closest atoms and distances in Å follow each position.
Fractional positions:
1 Tm 0.4199 0.5455 0.1977  4 Ga 2.89-3.05
2 Tm 0.0388 0.9230 0.7048  1 C 2.39
3 Tm 0.5455 0.1977 0.4199  4 Ga 2.89-3.05
4 Tm 0.0770 0.2952 0.9612  1 C 2.39
5 Tm 0.7048 0.0388 0.9230  1 C 2.39
6 Tm 0.1977 0.4199 0.5455  4 Ga 2.89-3.05
7 Tm 0.2952 0.9612 0.0770  1 C 2.39
8 Tm 0.9230 0.7048 0.0388  1 C 2.39
9 Tm 0.9612 0.0770 0.2952  1 C 2.39
10 Tm 0.8023 0.5801 0.4545  4 Ga 2.89-3.05
11 Tm 0.4545 0.8023 0.5801  4 Ga 2.89-3.05
12 Tm 0.5801 0.4545 0.8023  4 Ga 2.89-3.05
13 Ga 0.6439 0.8565 0.2575  8 Tm 2.89-3.17
14 Ga 0.7425 0.3561 0.1435  8 Tm 2.89-3.17
15 Ga 0.8565 0.2575 0.6439  8 Tm 2.89-3.17
16 Ga 0.1435 0.7425 0.3561  8 Tm 2.89-3.17
17 Ga 0.2575 0.6439 0.8565  8 Tm 2.89-3.17
18 Ga 0.3561 0.1435 0.7425  8 Tm 2.89-3.17
19 C 0.0000 0.0000 0.0000  6 Tm 2.39